Computed, not measured: an optimized crystal structure of Li2Mn3F8 at the PBE with a Hubbard U level of DFT.

CIF file:
```
data_Li2Mn3F8
_cell_length_a 5.8098
_cell_length_b 8.7218
_cell_length_c 9.4011
_cell_angle_alpha 90.00
_cell_angle_beta 119.81
_cell_angle_gamma 90.00
_space_group_name_H-M_alt 'P 1 21/c 1'
_space_group_IT_number 14
loop_
_space_group_symop_operation_xyz
'x,y,z'
'-x,-y,-z'
'-x,y+1/2,-z+1/2'
'x,-y+1/2,z+1/2'
loop_
_atom_site_label
_atom_site_type_symbol
_atom_site_fract_x
_atom_site_fract_y
_atom_site_fract_z
Li1 Li 0.1317 0.1977 0.1933
Mn1 Mn 0.4964 0.1465 0.6059
Mn2 Mn 0.5000 0.0000 0.0000
F1 F 0.2334 0.6952 0.3898
F2 F 0.2538 0.1535 0.0424
F3 F 0.2918 0.0560 0.3657
F4 F 0.3573 0.1167 0.7678
```

Computed properties:
Crystal system ... monoclinic
Energy above the most stable polymorph in this dataset ... 39 meV/atom